Entry 1:
# Ac3TbO6 PBE-GGA optimized geometry
data_Ac3TbO6
_chemical_formula_sum 'Ac18 Tb6 O36'
_symmetry_space_group_name_H-M 'R -3'
_symmetry_Int_Tables_number 148
_symmetry_space_group_name_Hall '-R 3'
_cell_length_a 10.5049
_cell_length_b 10.5049
_cell_length_c 12.1593
_cell_angle_alpha 90.00
_cell_angle_beta 90.00
_cell_angle_gamma 120.00
loop_
_atom_site_label
_atom_site_type_symbol
_atom_site_fract_x
_atom_site_fract_y
_atom_site_fract_z
_atom_site_occupancy
Ac1 Ac 0.0390 0.2661 0.2079 1
Tb1 Tb 0.0000 0.0000 0.0000 1
Tb2 Tb 0.0000 0.0000 0.5000 1
O1 O 0.0267 0.1826 0.8798 1
O2 O 0.0316 0.2099 0.4068 1
# - Magnetic moment: 0.00 μB per formula unit
# - Density of states at the Fermi level: 0.000 states/eV per atom
# - Formation energy without anion corrections: -3385.7 meV/atom

Entry 2:
# Hf3ScGa PBE-GGA optimized geometry
data_Hf3ScGa
_chemical_formula_sum 'Hf3 Sc1 Ga1'
_symmetry_space_group_name_H-M 'P m -3 m'
_symmetry_Int_Tables_number 221
_symmetry_space_group_name_Hall '-P 4 2 3'
_cell_length_a 5.019
_cell_length_b 5.019
_cell_length_c 5.019
_cell_angle_alpha 90.00
_cell_angle_beta 90.00
_cell_angle_gamma 90.00
loop_
_atom_site_label
_atom_site_type_symbol
_atom_site_fract_x
_atom_site_fract_y
_atom_site_fract_z
_atom_site_occupancy
Hf1 Hf 0.000 0.000 0.500 1
Sc1 Sc 0.500 0.500 0.500 1
Ga1 Ga 0.000 0.000 0.000 1
# - Magnetic moment: 0.00 μB per formula unit
# - Density of states at the Fermi level: 1.738 states/eV per atom
# - ΔE_f: 49.7 kJ/mol of atoms

Entry 3:
# Y3Mg2In4 PBE-GGA optimized geometry
data_Y3Mg2In4
_chemical_formula_sum 'Y6 Mg4 In8'
_symmetry_space_group_name_H-M 'C 1 2/m 1'
_symmetry_Int_Tables_number 12
_symmetry_space_group_name_Hall '-C 2y'
_cell_length_a 11.211
_cell_length_b 4.932
_cell_length_c 9.326
_cell_angle_alpha 90.00
_cell_angle_beta 117.77
_cell_angle_gamma 90.00
loop_
_atom_site_label
_atom_site_type_symbol
_atom_site_fract_x
_atom_site_fract_y
_atom_site_fract_z
_atom_site_occupancy
Y1 Y 0.000 0.000 0.000 1
Y2 Y 0.163 0.500 0.668 1
Mg1 Mg 0.116 0.500 0.285 1
In1 In 0.062 0.000 0.392 1
In2 In 0.212 0.500 0.053 1
# - Magnetic moment: 0.00 μB per formula unit
# - Density of states at the Fermi level: 0.606 states/eV per atom
# - ΔE_f: -39.2 kJ/mol of atoms

Entry 4:
# Dy8TcRu2 PBE-GGA optimized geometry
data_Dy8TcRu2
_chemical_formula_sum 'Dy16 Tc2 Ru4'
_symmetry_space_group_name_H-M 'C 1 m 1'
_symmetry_Int_Tables_number 8
_symmetry_space_group_name_Hall 'C -2y'
_cell_length_a 8.314
_cell_length_b 12.630
_cell_length_c 5.779
_cell_angle_alpha 90.00
_cell_angle_beta 109.19
_cell_angle_gamma 90.00
loop_
_atom_site_label
_atom_site_type_symbol
_atom_site_fract_x
_atom_site_fract_y
_atom_site_fract_z
_atom_site_occupancy
Dy1 Dy 0.000 0.000 0.000 1
Dy2 Dy 0.064 0.372 0.791 1
Dy3 Dy 0.158 0.127 0.601 1
Dy4 Dy 0.218 0.500 0.377 1
Dy5 Dy 0.367 0.215 0.192 1
Tc1 Tc 0.356 0.000 0.103 1
Ru1 Ru 0.354 0.309 0.678 1
# - Magnetic moment: 0.00 μB per formula unit
# - Density of states at the Fermi level: 0.860 states/eV per atom
# - ΔE_f: -13.8 kJ/mol of atoms

Entry 5:
# SiNiHN PBE-GGA optimized geometry
data_SiNiHN
_chemical_formula_sum 'Si1 Ni1 H1 N1'
_symmetry_space_group_name_H-M 'P 1'
_symmetry_Int_Tables_number 1
_symmetry_space_group_name_Hall 'P 1'
_cell_length_a 2.824
_cell_length_b 2.914
_cell_length_c 5.116
_cell_angle_alpha 103.00
_cell_angle_beta 105.84
_cell_angle_gamma 90.09
loop_
_atom_site_label
_atom_site_type_symbol
_atom_site_fract_x
_atom_site_fract_y
_atom_site_fract_z
_atom_site_occupancy
Si1 Si 0.000 0.000 0.000 1
Ni1 Ni 0.828 0.361 0.658 1
H1 H 0.654 0.768 0.313 1
N1 N 0.617 0.075 0.237 1
# - Magnetic moment: 0.00 μB per formula unit
# - Density of states at the Fermi level: 0.269 states/eV per atom
# - Raw total energy: -23.7 eV for the cell shown

Entry 6:
# Li2Cd4AgPd PBE-GGA optimized geometry
data_Li2Cd4AgPd
_chemical_formula_sum 'Li2 Cd4 Ag1 Pd1'
_symmetry_space_group_name_H-M 'P 1 2/m 1'
_symmetry_Int_Tables_number 10
_symmetry_space_group_name_Hall '-P 2y'
_cell_length_a 4.731
_cell_length_b 4.698
_cell_length_c 6.546
_cell_angle_alpha 90.00
_cell_angle_beta 90.31
_cell_angle_gamma 90.00
loop_
_atom_site_label
_atom_site_type_symbol
_atom_site_fract_x
_atom_site_fract_y
_atom_site_fract_z
_atom_site_occupancy
Li1 Li 0.000 0.000 0.000 1
Li2 Li 0.500 0.500 0.500 1
Cd1 Cd 0.000 0.500 0.256 1
Cd2 Cd 0.499 0.000 0.258 1
Ag1 Ag 0.500 0.500 0.000 1
Pd1 Pd 0.000 0.000 0.500 1
# - Magnetic moment: 0.00 μB per formula unit
# - Density of states at the Fermi level: 0.393 states/eV per atom
# - ΔE_f: -28.9 kJ/mol of atoms